# HoThBi | OQMD | PBE | optimized geometry
data_HoThBi
_chemical_formula_sum 'Ho4 Th4 Bi4'
_symmetry_space_group_name_H-M 'F -4 3 m'
_symmetry_Int_Tables_number 216
_symmetry_space_group_name_Hall 'F -4 2 3'
_cell_length_a 7.4296
_cell_length_b 7.4296
_cell_length_c 7.4296
_cell_angle_alpha 90.00
_cell_angle_beta 90.00
_cell_angle_gamma 90.00
loop_
_atom_site_label
_atom_site_type_symbol
_atom_site_fract_x
_atom_site_fract_y
_atom_site_fract_z
_atom_site_occupancy
Ho1 Ho 0.0000 0.0000 0.0000 1
Th1 Th 0.0000 0.0000 0.5000 1
Bi1 Bi 0.2500 0.2500 0.2500 1
# Electronic total energy in Ry/atom: -0.3962

# Ho3ThBi4 | OQMD | PBE | optimized geometry
data_Ho3ThBi4
_chemical_formula_sum 'Ho6 Th2 Bi8'
_symmetry_space_group_name_H-M 'C m m m'
_symmetry_Int_Tables_number 65
_symmetry_space_group_name_Hall '-C 2 2'
_cell_length_a 8.9541
_cell_length_b 12.6740
_cell_length_c 4.4897
_cell_angle_alpha 90.00
_cell_angle_beta 90.00
_cell_angle_gamma 90.00
loop_
_atom_site_label
_atom_site_type_symbol
_atom_site_fract_x
_atom_site_fract_y
_atom_site_fract_z
_atom_site_occupancy
Ho1 Ho 0.0000 0.0000 0.0000 1
Ho2 Ho 0.2500 0.2500 0.5000 1
Th1 Th 0.0000 0.5000 0.0000 1
Bi1 Bi 0.0000 0.2468 0.0000 1
Bi2 Bi 0.2429 0.0000 0.5000 1
# Electronic total energy in Ry/atom: -0.4010